The following is a DFT calculation (PBE) of a relaxed structure of AcSmCuRu.

- ΔH_f (0 K) (kJ/mol of atoms) = -10.8
- energy (eV per atom) = -5.662

Cell and atoms, written as CIF:
```
data_AcSmCuRu
_chemical_formula_sum 'Ac4 Sm4 Cu4 Ru4'
_space_group_name_H-M_alt 'F -4 3 m'
_space_group_IT_number 216
_space_group_name_Hall 'F -4 2 3'
_cell_length_a 7.2351
_cell_length_b 7.2351
_cell_length_c 7.2351
_cell_angle_alpha 90.00
_cell_angle_beta 90.00
_cell_angle_gamma 90.00
loop_
_atom_site_label
_atom_site_fract_x
_atom_site_fract_y
_atom_site_fract_z
Ac1 0.0000 0.0000 0.0000
Sm1 0.0000 0.0000 0.5000
Cu1 0.2500 0.2500 0.2500
Ru1 0.2500 0.2500 0.7500
```

The following is a DFT calculation (PBE) of a relaxed structure of Ac2Cu3Sn4Ru.

- ΔH_f (0 K) (kJ/mol of atoms) = -37.7
- energy (eV per atom) = -4.970

Cell and atoms, written as CIF:
```
data_Ac2Cu3Sn4Ru
_chemical_formula_sum 'Ac2 Cu3 Sn4 Ru1'
_space_group_name_H-M_alt 'P -4 m 2'
_space_group_IT_number 115
_cell_length_a 4.6255
_cell_length_b 4.6255
_cell_length_c 10.7819
_cell_angle_alpha 90.00
_cell_angle_beta 90.00
_cell_angle_gamma 90.00
loop_
_space_group_symop_operation_xyz
'x,y,z'
'y,-x,-z'
'-x,-y,z'
'-y,x,-z'
'-x,y,z'
'-y,-x,-z'
'x,-y,z'
'y,x,-z'
loop_
_atom_site_label
_atom_site_fract_x
_atom_site_fract_y
_atom_site_fract_z
Ac1 0.0000 0.5000 0.2384
Cu1 0.0000 0.0000 0.0000
Cu2 0.0000 0.5000 0.6326
Sn1 0.0000 0.0000 0.5000
Sn2 0.0000 0.5000 0.8765
Sn3 0.5000 0.5000 0.5000
Ru1 0.5000 0.5000 0.0000
```

The following is a DFT calculation (PBE) of a relaxed structure of AcTmCuRu.

- ΔH_f (0 K) (kJ/mol of atoms) = -13.6
- energy (eV per atom) = -5.629

Cell and atoms, written as CIF:
```
data_AcTmCuRu
_chemical_formula_sum 'Ac4 Tm4 Cu4 Ru4'
_space_group_name_H-M_alt 'F -4 3 m'
_space_group_IT_number 216
_space_group_name_Hall 'F -4 2 3'
_cell_length_a 7.1272
_cell_length_b 7.1272
_cell_length_c 7.1272
_cell_angle_alpha 90.00
_cell_angle_beta 90.00
_cell_angle_gamma 90.00
loop_
_atom_site_label
_atom_site_fract_x
_atom_site_fract_y
_atom_site_fract_z
Ac1 0.0000 0.0000 0.0000
Tm1 0.0000 0.0000 0.5000
Cu1 0.2500 0.2500 0.7500
Ru1 0.2500 0.2500 0.2500
```

The following is a DFT calculation (PBE) of a relaxed structure of AcYCuRu.

- ΔH_f (0 K) (kJ/mol of atoms) = -12.6
- energy (eV per atom) = -6.116

Cell and atoms, written as CIF:
```
data_AcYCuRu
_chemical_formula_sum 'Ac4 Y4 Cu4 Ru4'
_space_group_name_H-M_alt 'F -4 3 m'
_space_group_IT_number 216
_space_group_name_Hall 'F -4 2 3'
_cell_length_a 7.1800
_cell_length_b 7.1800
_cell_length_c 7.1800
_cell_angle_alpha 90.00
_cell_angle_beta 90.00
_cell_angle_gamma 90.00
loop_
_atom_site_label
_atom_site_fract_x
_atom_site_fract_y
_atom_site_fract_z
Ac1 0.0000 0.0000 0.0000
Y1 0.0000 0.0000 0.5000
Cu1 0.2500 0.2500 0.7500
Ru1 0.2500 0.2500 0.2500
```

The following is a DFT calculation (PBE) of a relaxed structure of AcCuS.

- energy (eV per atom) = -5.325

Cell and atoms, written as CIF:
```
data_AcCuS
_chemical_formula_sum 'Ac4 Cu4 S4'
_space_group_name_H-M_alt 'C m c m'
_space_group_IT_number 63
_space_group_name_Hall '-C 2c 2'
_cell_length_a 4.0727
_cell_length_b 16.1523
_cell_length_c 4.4017
_cell_angle_alpha 90.00
_cell_angle_beta 90.00
_cell_angle_gamma 90.00
loop_
_atom_site_label
_atom_site_fract_x
_atom_site_fract_y
_atom_site_fract_z
Ac1 0.0000 0.1329 0.2500
Cu1 0.0000 0.4700 0.2500
S1 0.0000 0.3229 0.2500
```

The following is a DFT calculation (PBE) of a relaxed structure of AcCu3S4.

- energy (eV per atom) = -4.830

Cell and atoms, written as CIF:
```
data_AcCu3S4
_chemical_formula_sum 'Ac2 Cu6 S8'
_space_group_name_H-M_alt 'P m -3 n'
_space_group_IT_number 223
_space_group_name_Hall '-P 4n 2 3'
_cell_length_a 6.8479
_cell_length_b 6.8479
_cell_length_c 6.8479
_cell_angle_alpha 90.00
_cell_angle_beta 90.00
_cell_angle_gamma 90.00
loop_
_atom_site_label
_atom_site_fract_x
_atom_site_fract_y
_atom_site_fract_z
Ac1 0.0000 0.0000 0.0000
Cu1 0.0000 0.2500 0.5000
S1 0.2500 0.2500 0.2500
```

The following is a DFT calculation (PBE) of a relaxed structure of AcCuS3.

- energy (eV per atom) = -5.183

Cell and atoms, written as CIF:
```
data_AcCuS3
_chemical_formula_sum 'Ac8 Cu8 S24'
_space_group_name_H-M_alt 'C 1 2/c 1'
_space_group_IT_number 15
_cell_length_a 10.5309
_cell_length_b 12.0992
_cell_length_c 8.3019
_cell_angle_alpha 90.00
_cell_angle_beta 118.92
_cell_angle_gamma 90.00
loop_
_space_group_symop_operation_xyz
'x,y,z'
'-x,-y,-z'
'-x,y,-z+1/2'
'x,-y,z+1/2'
'x+1/2,y+1/2,z'
'-x+1/2,-y+1/2,-z'
'-x+1/2,y+1/2,-z+1/2'
'x+1/2,-y+1/2,z+1/2'
loop_
_atom_site_label
_atom_site_fract_x
_atom_site_fract_y
_atom_site_fract_z
Ac1 0.0000 0.0544 0.2500
Ac2 0.0000 0.3803 0.7500
Cu1 0.1421 0.3401 0.3105
S1 0.0761 0.1633 0.6019
S2 0.1358 0.2233 0.1012
S3 0.1721 0.4563 0.5304
```

The following is a DFT calculation (PBE) of a relaxed structure of Ac3CuS6.

- energy (eV per atom) = -5.666

Cell and atoms, written as CIF:
```
data_Ac3CuS6
_chemical_formula_sum 'Ac12 Cu4 S24'
_space_group_name_H-M_alt 'C m c 21'
_space_group_IT_number 36
_cell_length_a 11.4698
_cell_length_b 14.1852
_cell_length_c 6.9662
_cell_angle_alpha 90.00
_cell_angle_beta 90.00
_cell_angle_gamma 90.00
loop_
_space_group_symop_operation_xyz
'x,y,z'
'-x,-y,z+1/2'
'-x,y,z'
'x,-y,z+1/2'
'x+1/2,y+1/2,z'
'-x+1/2,-y+1/2,z+1/2'
'-x+1/2,y+1/2,z'
'x+1/2,-y+1/2,z+1/2'
loop_
_atom_site_label
_atom_site_fract_x
_atom_site_fract_y
_atom_site_fract_z
Ac1 0.0000 0.1088 0.0000
Ac2 0.1855 0.3964 0.0562
Cu1 0.0000 0.3083 0.5996
S1 0.0000 0.2873 0.2743
S2 0.0000 0.4571 0.7453
S3 0.1548 0.2431 0.7596
S4 0.1589 0.0164 0.2808
```

The following is a DFT calculation (PBE) of a relaxed structure of AcCu5S4.

- energy (eV per atom) = -4.611

Cell and atoms, written as CIF:
```
data_AcCu5S4
_chemical_formula_sum 'Ac2 Cu10 S8'
_space_group_name_H-M_alt 'I m m m'
_space_group_IT_number 71
_space_group_name_Hall '-I 2 2'
_cell_length_a 3.9714
_cell_length_b 7.1680
_cell_length_c 12.7320
_cell_angle_alpha 90.00
_cell_angle_beta 90.00
_cell_angle_gamma 90.00
loop_
_atom_site_label
_atom_site_fract_x
_atom_site_fract_y
_atom_site_fract_z
Ac1 0.0000 0.0000 0.0000
Cu1 0.0000 0.2967 0.3168
Cu2 0.0000 0.5000 0.0000
S1 0.0000 0.0000 0.2325
S2 0.0000 0.2085 0.5000
```

The following is a DFT calculation (PBE) of a relaxed structure of Ac3Cu2S7.

- energy (eV per atom) = -5.386

Cell and atoms, written as CIF:
```
data_Ac3Cu2S7
_chemical_formula_sum 'Ac6 Cu4 S14'
_space_group_name_H-M_alt 'C m m m'
_space_group_IT_number 65
_space_group_name_Hall '-C 2 2'
_cell_length_a 4.6342
_cell_length_b 25.3751
_cell_length_c 4.5146
_cell_angle_alpha 90.00
_cell_angle_beta 90.00
_cell_angle_gamma 90.00
loop_
_atom_site_label
_atom_site_fract_x
_atom_site_fract_y
_atom_site_fract_z
Ac1 0.0000 0.0000 0.0000
Ac2 0.0000 0.1696 0.0000
Cu1 0.0000 0.3978 0.5000
S1 0.0000 0.0902 0.5000
S2 0.0000 0.3004 0.5000
S3 0.0000 0.4087 0.0000
S4 0.0000 0.5000 0.5000
```

The following is a DFT calculation (PBE) of a relaxed structure of Ac2CuS4.

- energy (eV per atom) = -5.745

Cell and atoms, written as CIF:
```
data_Ac2CuS4
_chemical_formula_sum 'Ac4 Cu2 S8'
_space_group_name_H-M_alt 'P 1 21/m 1'
_space_group_IT_number 11
_cell_length_a 6.9928
_cell_length_b 5.8991
_cell_length_c 8.5163
_cell_angle_alpha 90.00
_cell_angle_beta 107.57
_cell_angle_gamma 90.00
loop_
_space_group_symop_operation_xyz
'x,y,z'
'-x,-y,-z'
'-x,y+1/2,-z'
'x,-y+1/2,z'
loop_
_atom_site_label
_atom_site_fract_x
_atom_site_fract_y
_atom_site_fract_z
Ac1 0.2230 0.2500 0.4286
Ac2 0.2468 0.2500 0.9387
Cu1 0.2581 0.7500 0.1915
S1 0.0732 0.7500 0.3802
S2 0.0873 0.7500 0.9102
S3 0.4912 0.5107 0.7395
```

The following is a DFT calculation (PBE) of a relaxed structure of AcCuS3.

- energy (eV per atom) = -5.125

Cell and atoms, written as CIF:
```
data_AcCuS3
_chemical_formula_sum 'Ac1 Cu1 S3'
_space_group_name_H-M_alt 'P m -3 m'
_space_group_IT_number 221
_space_group_name_Hall '-P 4 2 3'
_cell_length_a 4.6648
_cell_length_b 4.6648
_cell_length_c 4.6648
_cell_angle_alpha 90.00
_cell_angle_beta 90.00
_cell_angle_gamma 90.00
loop_
_atom_site_label
_atom_site_fract_x
_atom_site_fract_y
_atom_site_fract_z
Ac1 0.0000 0.0000 0.0000
Cu1 0.5000 0.5000 0.5000
S1 0.0000 0.5000 0.5000
```

The following is a DFT calculation (PBE) of a relaxed structure of AcCuS3.

- energy (eV per atom) = -5.240

Cell and atoms, written as CIF:
```
data_AcCuS3
_chemical_formula_sum 'Ac4 Cu4 S12'
_space_group_name_H-M_alt 'P n m a'
_space_group_IT_number 62
_cell_length_a 8.7375
_cell_length_b 4.1351
_cell_length_c 12.3687
_cell_angle_alpha 90.00
_cell_angle_beta 90.00
_cell_angle_gamma 90.00
loop_
_space_group_symop_operation_xyz
'x,y,z'
'-x,-y,-z'
'-x+1/2,-y,z+1/2'
'x+1/2,y,-z+1/2'
'x+1/2,-y+1/2,-z+1/2'
'-x+1/2,y+1/2,z+1/2'
'-x,y+1/2,-z'
'x,-y+1/2,z'
loop_
_atom_site_label
_atom_site_fract_x
_atom_site_fract_y
_atom_site_fract_z
Ac1 0.1224 0.2500 0.1821
Cu1 0.0218 0.7500 0.4115
S1 0.1178 0.2500 0.7427
S2 0.1351 0.7500 0.9961
S3 0.1413 0.2500 0.4327
```

The following is a DFT calculation (PBE) of a relaxed structure of Ac2Cu2SbS6.

- energy (eV per atom) = -5.000

Cell and atoms, written as CIF:
```
data_Ac2Cu2SbS6
_chemical_formula_sum 'Ac6 Cu6 Sb3 S18'
_space_group_name_H-M_alt 'R -3 m'
_space_group_IT_number 166
_space_group_name_Hall '-R 3 2"'
_cell_length_a 7.0872
_cell_length_b 7.0872
_cell_length_c 18.5761
_cell_angle_alpha 90.00
_cell_angle_beta 90.00
_cell_angle_gamma 120.00
loop_
_atom_site_label
_atom_site_fract_x
_atom_site_fract_y
_atom_site_fract_z
Ac1 0.0000 0.0000 0.2171
Cu1 0.0000 0.0000 0.4227
Sb1 0.0000 0.0000 0.0000
S1 0.0217 0.5109 0.7597
```

The following is a DFT calculation (PBE) of a relaxed structure of Ac2CuSbS5.

- energy (eV per atom) = -5.434

Cell and atoms, written as CIF:
```
data_Ac2CuSbS5
_chemical_formula_sum 'Ac8 Cu4 Sb4 S20'
_space_group_name_H-M_alt 'C m c 21'
_space_group_IT_number 36
_cell_length_a 4.0786
_cell_length_b 17.2811
_cell_length_c 12.1235
_cell_angle_alpha 90.00
_cell_angle_beta 90.00
_cell_angle_gamma 90.00
loop_
_space_group_symop_operation_xyz
'x,y,z'
'-x,-y,z+1/2'
'-x,y,z'
'x,-y,z+1/2'
'x+1/2,y+1/2,z'
'-x+1/2,-y+1/2,z+1/2'
'-x+1/2,y+1/2,z'
'x+1/2,-y+1/2,z+1/2'
loop_
_atom_site_label
_atom_site_fract_x
_atom_site_fract_y
_atom_site_fract_z
Ac1 0.0000 0.1135 0.0000
Ac2 0.0000 0.1219 0.6202
Cu1 0.0000 0.5000 0.2920
Sb1 0.0000 0.1878 0.3171
S1 0.0000 0.0428 0.3648
S2 0.0000 0.2929 0.9689
S3 0.0000 0.3015 0.6539
S4 0.0000 0.3602 0.3139
S5 0.0000 0.4973 0.5991
```

The following is a DFT calculation (PBE) of a relaxed structure of Ac2ScCuS6.

- energy (eV per atom) = -5.801

Cell and atoms, written as CIF:
```
data_Ac2ScCuS6
_chemical_formula_sum 'Ac2 Sc1 Cu1 S6'
_space_group_name_H-M_alt 'P -3 m 1'
_space_group_IT_number 164
_space_group_name_Hall '-P 3 2"'
_cell_length_a 6.5666
_cell_length_b 6.5666
_cell_length_c 5.7697
_cell_angle_alpha 90.00
_cell_angle_beta 90.00
_cell_angle_gamma 120.00
loop_
_atom_site_label
_atom_site_fract_x
_atom_site_fract_y
_atom_site_fract_z
Ac1 0.3333 0.6667 0.2100
Sc1 0.0000 0.0000 0.5000
Cu1 0.0000 0.0000 0.0000
S1 0.1763 0.3526 0.7663
```

The following is a DFT calculation (PBE) of a relaxed structure of Ac2ScCu2S6.

- energy (eV per atom) = -5.581

Cell and atoms, written as CIF:
```
data_Ac2ScCu2S6
_chemical_formula_sum 'Ac6 Sc3 Cu6 S18'
_space_group_name_H-M_alt 'R -3 m'
_space_group_IT_number 166
_space_group_name_Hall '-R 3 2"'
_cell_length_a 6.9655
_cell_length_b 6.9655
_cell_length_c 18.8505
_cell_angle_alpha 90.00
_cell_angle_beta 90.00
_cell_angle_gamma 120.00
loop_
_atom_site_label
_atom_site_fract_x
_atom_site_fract_y
_atom_site_fract_z
Ac1 0.0000 0.0000 0.2153
Sc1 0.0000 0.0000 0.0000
Cu1 0.0000 0.0000 0.4230
S1 0.0252 0.5126 0.7577
```

The following is a DFT calculation (PBE) of a relaxed structure of Ac2CuSe2S2.

- energy (eV per atom) = -5.498

Cell and atoms, written as CIF:
```
data_Ac2CuSe2S2
_chemical_formula_sum 'Ac4 Cu2 Se4 S4'
_space_group_name_H-M_alt 'I 4/m m m'
_space_group_IT_number 139
_space_group_name_Hall '-I 4 2'
_cell_length_a 4.5813
_cell_length_b 4.5813
_cell_length_c 16.4969
_cell_angle_alpha 90.00
_cell_angle_beta 90.00
_cell_angle_gamma 90.00
loop_
_atom_site_label
_atom_site_fract_x
_atom_site_fract_y
_atom_site_fract_z
Ac1 0.0000 0.0000 0.1298
Cu1 0.0000 0.0000 0.5000
Se1 0.0000 0.0000 0.3217
S1 0.0000 0.5000 0.0000
```

The following is a DFT calculation (PBE) of a relaxed structure of AcCuSiS4.

- energy (eV per atom) = -5.296

Cell and atoms, written as CIF:
```
data_AcCuSiS4
_chemical_formula_sum 'Ac4 Cu4 Si4 S16'
_space_group_name_H-M_alt 'I m m a'
_space_group_IT_number 74
_space_group_name_Hall '-I 2b 2'
_cell_length_a 6.9451
_cell_length_b 10.1984
_cell_length_c 9.6165
_cell_angle_alpha 90.00
_cell_angle_beta 90.00
_cell_angle_gamma 90.00
loop_
_atom_site_label
_atom_site_fract_x
_atom_site_fract_y
_atom_site_fract_z
Ac1 0.0000 0.0000 0.0000
Cu1 0.2500 0.2500 0.2500
Si1 0.0000 0.2500 0.5990
S1 0.0000 0.0646 0.6919
S2 0.2360 0.2500 0.0290
```

The following is a DFT calculation (PBE) of a relaxed structure of AcCuSi2S6.

- energy (eV per atom) = -5.270

Cell and atoms, written as CIF:
```
data_AcCuSi2S6
_chemical_formula_sum 'Ac4 Cu4 Si8 S24'
_space_group_name_H-M_alt 'C 1 2/c 1'
_space_group_IT_number 15
_cell_length_a 13.1211
_cell_length_b 11.4490
_cell_length_c 6.8924
_cell_angle_alpha 90.00
_cell_angle_beta 114.25
_cell_angle_gamma 90.00
loop_
_space_group_symop_operation_xyz
'x,y,z'
'-x,-y,-z'
'-x,y,-z+1/2'
'x,-y,z+1/2'
'x+1/2,y+1/2,z'
'-x+1/2,-y+1/2,-z'
'-x+1/2,y+1/2,-z+1/2'
'x+1/2,-y+1/2,z+1/2'
loop_
_atom_site_label
_atom_site_fract_x
_atom_site_fract_y
_atom_site_fract_z
Ac1 0.0000 0.1661 0.2500
Cu1 0.0000 0.2089 0.7500
Si1 0.2048 0.4305 0.1896
S1 0.1168 0.0627 0.6795
S2 0.1403 0.2664 0.0597
S3 0.1431 0.4327 0.4446
```